# 1
A PBEsol-optimized structure of MgSb2TeH, computed with meta-GGA SCAN.

Cell: 5.3338 5.3338 5.4014 Å, 90.00 90.00 90.00°
Closest atoms and distances in Å follow each position.
Space group P4/mmm (No. 123)
One atom of each set of equivalent atoms:
Mg: 0.0000 0.0000 0.0000 [1 per cell]  4 Sb 2.67, 2 Te 2.70
Sb: 0.0000 0.5000 0.0000 [2 per cell]  2 Mg 2.67
Te: 0.0000 0.0000 0.5000 [1 per cell]  2 Mg 2.70
H: 0.5000 0.5000 0.5000 [1 per cell]  4 Te 3.77, 8 Sb 3.80

Computed properties:
Fermi-level density of states, states/eV per atom: 0.534
VASP energy, eV for the cell shown: -115.6


# 2
A PBEsol-optimized structure of MgSc2H2, computed with meta-GGA SCAN.

Cell: 3.5419 3.5419 11.3226 Å, 90.00 90.00 90.00°
Closest atoms and distances in Å follow each position.
Space group I4/mmm (No. 139)
One atom of each set of equivalent atoms:
Mg: 0.0000 0.0000 0.0000 [2 per cell]  8 Sc 3.10, 8 H 3.34
Sc: 0.0000 0.0000 0.3390 [4 per cell]  4 H 2.04
H: 0.0000 0.5000 0.2500 [4 per cell]  4 Sc 2.04

Computed properties:
Fermi-level density of states, states/eV per atom: 0.311
VASP energy, eV for the cell shown: -85.6


# 3
A PBEsol-optimized structure of Mg3SnH, computed with meta-GGA SCAN.

Cell: 5.3787 5.3787 5.3787 Å, 90.00 90.00 90.00°
Closest atoms and distances in Å follow each position.
Space group Pm-3m (No. 221)
One atom of each set of equivalent atoms:
Mg: 0.0000 0.0000 0.5000 [3 per cell]  2 Sn 2.69
Sn: 0.0000 0.0000 0.0000 [1 per cell]  6 Mg 2.69
H: 0.5000 0.5000 0.5000 [1 per cell]  12 Mg 3.80

Computed properties:
Fermi-level density of states, states/eV per atom: 0.638
VASP energy, eV for the cell shown: -50.9


Among the records above, which one has the highest VASP energy? Mg3SnH